PmNi2As2: optimized geometry, GGA-PBE.

a = 5.7718 Å, b = 5.7718 Å, c = 5.7718 Å
α = 138.54°, β = 138.54°, γ = 60.07°
Closest atoms and distances in Å follow each position.
Element x y z (fractional)
Pm 0.0000 0.0000 0.0000  8 As 3.17, 8 Ni 3.23
Ni 0.2500 0.7500 0.5000  4 As 2.36
Ni 0.7500 0.2500 0.5000  4 As 2.36
As 0.3686 0.3686 0.0000  4 Ni 2.36, 1 As 2.63
As 0.6314 0.6314 0.0000  4 Ni 2.36, 1 As 2.63



BaFeB: optimized geometry, GGA-PBE.

a = 4.5815 Å, b = 4.5815 Å, c = 4.5815 Å
α = 60.00°, β = 60.00°, γ = 60.00°
Closest atoms and distances in Å follow each position.
Element x y z (fractional)
Ba 0.0000 0.0000 0.0000  4 B 2.81
Fe 0.5000 0.5000 0.5000  4 B 2.81
B 0.2500 0.2500 0.2500  4 Ba 2.81, 4 Fe 2.81



Y2Ho2CIBr2Cl2: optimized geometry, GGA-PBE.

a = 9.0056 Å, b = 9.0056 Å, c = 8.3970 Å
α = 103.14°, β = 103.14°, γ = 24.52°
Closest atoms and distances in Å follow each position.
Element x y z (fractional)
Y 0.1399 0.1399 0.0749  1 C 2.40
Y 0.8601 0.8601 0.9251  1 C 2.40
Ho 0.4998 0.4998 0.1916  2 C 2.50, 1 Cl 2.75
Ho 0.5002 0.5002 0.8084  2 C 2.50, 1 Cl 2.75
C 0.0000 0.0000 0.0000  2 Y 2.40, 4 Ho 2.50
I 0.0000 0.0000 0.5000  4 Ho 3.22
Br 0.3294 0.3294 0.1628  3 Y 2.90-3.24, 1 Ho 2.95
Br 0.6706 0.6706 0.8372  3 Y 2.90-3.24, 1 Ho 2.95
Cl 0.3412 0.3412 0.6877  2 Y 2.73, 1 Ho 2.75
Cl 0.6588 0.6588 0.3123  2 Y 2.73, 1 Ho 2.75



PaOsNO: optimized geometry, GGA-PBE.

a = 5.6211 Å, b = 8.1148 Å, c = 5.0799 Å
α = 90.00°, β = 90.00°, γ = 90.00°
Closest atoms and distances in Å follow each position.
Element x y z (fractional)
Pa 0.0153 0.1734 0.0000  4 O 2.30-2.41, 2 N 2.45-2.54
Pa 0.4847 0.1734 0.5000  4 O 2.30-2.41, 2 N 2.45-2.54
Pa 0.5153 0.8266 0.0000  4 O 2.30-2.41, 2 N 2.45-2.54
Pa 0.9847 0.8266 0.5000  4 O 2.30-2.41, 2 N 2.45-2.54
Os 0.1176 0.4922 0.7307  3 N 2.05-2.14
Os 0.3824 0.4922 0.2307  3 N 2.05-2.14
Os 0.6176 0.5078 0.7307  3 N 2.05-2.14
Os 0.8824 0.5078 0.2307  3 N 2.05-2.14
N 0.1140 0.3392 0.3881  3 Os 2.05-2.14
N 0.3860 0.3392 0.8881  3 Os 2.05-2.14
N 0.6140 0.6608 0.3881  3 Os 2.05-2.14
N 0.8860 0.6608 0.8881  3 Os 2.05-2.14
O 0.2477 0.9853 0.7381  4 Pa 2.30-2.41, 2 O 2.54
O 0.2523 0.9853 0.2381  4 Pa 2.30-2.41, 2 O 2.54
O 0.7477 0.0147 0.7381  4 Pa 2.30-2.41, 2 O 2.54
O 0.7523 0.0147 0.2381  4 Pa 2.30-2.41, 2 O 2.54



LaNd2Ge4Ir2Pd2: optimized geometry, GGA-PBE.

a = 13.0036 Å, b = 13.0036 Å, c = 13.0036 Å
α = 161.73°, β = 160.76°, γ = 26.65°
Closest atoms and distances in Å follow each position.
Element x y z (fractional)
La 0.0000 0.0000 0.0000  4 Pd 3.23, 8 Ge 3.25
Nd 0.3518 0.8518 0.5000  6 Ge 3.23, 4 Pd 3.26, 4 Ir 3.29-3.38
Nd 0.6482 0.1482 0.5000  6 Ge 3.23, 4 Pd 3.26, 4 Ir 3.29-3.38
Ge 0.1963 0.6963 0.5000  4 Ir 2.48-2.56, 1 Pd 2.49
Ge 0.4501 0.4501 0.0000  2 Pd 2.49, 1 Ge 2.53
Ge 0.5499 0.5499 0.0000  2 Pd 2.49, 1 Ge 2.53
Ge 0.8037 0.3037 0.5000  4 Ir 2.48-2.56, 1 Pd 2.49
Ir 0.2503 0.2503 0.0000  4 Ge 2.48-2.56
Ir 0.7497 0.7497 0.0000  4 Ge 2.48-2.56
Pd 0.0981 0.5981 0.5000  3 Ge 2.49
Pd 0.9019 0.4019 0.5000  3 Ge 2.49



LuTlCuNi: optimized geometry, GGA-PBE.

a = 4.6660 Å, b = 4.6660 Å, c = 4.6660 Å
α = 60.00°, β = 60.00°, γ = 60.00°
Closest atoms and distances in Å follow each position.
Element x y z (fractional)
Lu 0.0000 0.0000 0.0000  4 Tl 2.86, 4 Cu 2.86
Tl 0.2500 0.2500 0.2500  4 Ni 2.86, 4 Lu 2.86
Cu 0.7500 0.7500 0.7500  4 Ni 2.86, 4 Lu 2.86
Ni 0.5000 0.5000 0.5000  4 Tl 2.86, 4 Cu 2.86



Total energy for the records above, in order: -29.24; -12.99; -54.60; -37.76; -70.76; -16.21 eV per formula unit